a) # LiCr2O4, relaxed, DFT GGA+U
# * Fermi-level density of states: 1.7 states/eV/f.u.
# * spin magnetization: 0.714 μB per atom
data_LiCr2O4
_chemical_formula_sum 'Li4 Cr8 O16'
_cell_length_a 10.411
_cell_length_b 5.923
_cell_length_c 5.088
_cell_angle_alpha 90.00
_cell_angle_beta 104.72
_cell_angle_gamma 90.00
_symmetry_space_group_name_H-M 'C 1 2/c 1'
_symmetry_Int_Tables_number 15
_symmetry_space_group_name_Hall '-C 2yc'
loop_
_atom_site_label
_atom_site_type_symbol
_atom_site_fract_x
_atom_site_fract_y
_atom_site_fract_z
Li1 Li 0.000 0.204 0.250
Cr1 Cr 0.247 0.124 0.753
O1 O 0.146 0.125 0.038
O2 O 0.152 0.373 0.526


b) # LiCr2O4, relaxed, DFT GGA+U
# * spin magnetization: 0.714 μB per atom
data_LiCr2O4
_chemical_formula_sum 'Li4 Cr8 O16'
_cell_length_a 5.927
_cell_length_b 5.977
_cell_length_c 8.303
_cell_angle_alpha 89.68
_cell_angle_beta 89.73
_cell_angle_gamma 89.97
_symmetry_space_group_name_H-M 'P 1'
_symmetry_Int_Tables_number 1
_symmetry_space_group_name_Hall 'P 1'
loop_
_atom_site_label
_atom_site_type_symbol
_atom_site_fract_x
_atom_site_fract_y
_atom_site_fract_z
Li1 Li 0.000 0.000 0.000
Li2 Li 0.002 0.500 0.248
Li3 Li 0.496 0.502 0.503
Li4 Li 0.501 0.995 0.749
Cr1 Cr 0.003 0.750 0.624
Cr2 Cr 0.246 0.001 0.375
Cr3 Cr 0.251 0.498 0.875
Cr4 Cr 0.499 0.255 0.122
Cr5 Cr 0.507 0.751 0.126
Cr6 Cr 0.748 0.004 0.377
Cr7 Cr 0.755 0.500 0.874
Cr8 Cr 0.997 0.254 0.624
O1 O 0.000 0.724 0.865
O2 O 0.004 0.786 0.378
O3 O 0.223 0.500 0.636
O4 O 0.228 0.008 0.604
O5 O 0.277 0.001 0.142
O6 O 0.288 0.494 0.122
O7 O 0.493 0.224 0.360
O8 O 0.506 0.787 0.368
O9 O 0.508 0.267 0.894
O10 O 0.510 0.716 0.885
O11 O 0.723 0.014 0.142
O12 O 0.730 0.496 0.109
O13 O 0.770 0.506 0.643
O14 O 0.771 0.999 0.604
O15 O 0.992 0.220 0.380
O16 O 0.993 0.281 0.868


The relative energies come out as a) 6.8; b) 0.0, with values in kJ/mol of atoms.


a) # LiCr2O4, relaxed, DFT GGA+U
# * Fermi-level density of states: 1.6 states/eV/f.u.
# * spin magnetization: 0.714 μB per atom
data_LiCr2O4
_chemical_formula_sum 'Li2 Cr4 O8'
_cell_length_a 2.926
_cell_length_b 6.397
_cell_length_c 7.939
_cell_angle_alpha 90.00
_cell_angle_beta 90.00
_cell_angle_gamma 90.00
_symmetry_space_group_name_H-M 'A m m 2'
_symmetry_Int_Tables_number 38
_symmetry_space_group_name_Hall 'A 2 -2'
loop_
_atom_site_label
_atom_site_type_symbol
_atom_site_fract_x
_atom_site_fract_y
_atom_site_fract_z
Li1 Li 0.000 0.000 0.000
Cr1 Cr 0.000 0.000 0.314
Cr2 Cr 0.500 0.000 0.718
O1 O 0.000 0.185 0.793
O2 O 0.500 0.000 0.151
O3 O 0.500 0.000 0.486


b) # LiCr2O4, relaxed, DFT GGA+U
# * Fermi-level density of states: 0.4 states/eV/f.u.
# * spin magnetization: 0.714 μB per atom
data_LiCr2O4
_chemical_formula_sum 'Li4 Cr8 O16'
_cell_length_a 9.041
_cell_length_b 2.941
_cell_length_c 10.391
_cell_angle_alpha 90.00
_cell_angle_beta 90.00
_cell_angle_gamma 90.00
_symmetry_space_group_name_H-M 'P n m a'
_symmetry_Int_Tables_number 62
_symmetry_space_group_name_Hall '-P 2ac 2n'
loop_
_atom_site_label
_atom_site_type_symbol
_atom_site_fract_x
_atom_site_fract_y
_atom_site_fract_z
Li1 Li 0.248 0.250 0.120
Cr1 Cr 0.062 0.250 0.382
Cr2 Cr 0.085 0.250 0.896
O1 O 0.029 0.750 0.781
O2 O 0.081 0.250 0.570
O3 O 0.119 0.750 0.026
O4 O 0.199 0.750 0.348


The relative energies come out as a) 16.3; b) 0.0, with values in kJ/mol of atoms.


a) # Li4CrO5, relaxed, DFT GGA+U
# * spin magnetization: 0.000 μB per atom
data_Li4CrO5
_chemical_formula_sum 'Li8 Cr2 O10'
_cell_length_a 4.938
_cell_length_b 5.569
_cell_length_c 7.631
_cell_angle_alpha 94.30
_cell_angle_beta 106.47
_cell_angle_gamma 115.11
_symmetry_space_group_name_H-M 'P -1'
_symmetry_Int_Tables_number 2
_symmetry_space_group_name_Hall '-P 1'
loop_
_atom_site_label
_atom_site_type_symbol
_atom_site_fract_x
_atom_site_fract_y
_atom_site_fract_z
Li1 Li 0.000 0.000 0.000
Li2 Li 0.074 0.440 0.714
Li3 Li 0.237 0.018 0.401
Li4 Li 0.316 0.500 0.105
Li5 Li 0.500 0.500 0.500
Cr1 Cr 0.315 0.945 0.758
O1 O 0.006 0.238 0.442
O2 O 0.177 0.759 0.921
O3 O 0.228 0.206 0.844
O4 O 0.411 0.786 0.330
O5 O 0.462 0.237 0.253


b) # Li4CrO5, relaxed, DFT GGA+U
# * spin magnetization: 0.099 μB per atom
data_Li4CrO5
_chemical_formula_sum 'Li8 Cr2 O10'
_cell_length_a 5.092
_cell_length_b 5.910
_cell_length_c 6.573
_cell_angle_alpha 102.44
_cell_angle_beta 102.38
_cell_angle_gamma 106.09
_symmetry_space_group_name_H-M 'P -1'
_symmetry_Int_Tables_number 2
_symmetry_space_group_name_Hall '-P 1'
loop_
_atom_site_label
_atom_site_type_symbol
_atom_site_fract_x
_atom_site_fract_y
_atom_site_fract_z
Li1 Li 0.000 0.000 0.000
Li2 Li 0.000 0.500 0.000
Li3 Li 0.183 0.402 0.399
Li4 Li 0.240 0.888 0.379
Li5 Li 0.427 0.797 0.806
Cr1 Cr 0.416 0.329 0.769
O1 O 0.076 0.990 0.609
O2 O 0.139 0.453 0.712
O3 O 0.298 0.359 0.092
O4 O 0.376 0.842 0.116
O5 O 0.497 0.724 0.480


The relative energies come out as a) 0.6; b) 0.0, with values in kJ/mol of atoms.


a) # Li4CrO5, relaxed, DFT GGA+U
# * spin magnetization: 0.000 μB per atom
data_Li4CrO5
_chemical_formula_sum 'Li16 Cr4 O20'
_cell_length_a 8.714
_cell_length_b 5.846
_cell_length_c 7.874
_cell_angle_alpha 90.00
_cell_angle_beta 97.77
_cell_angle_gamma 90.00
_symmetry_space_group_name_H-M 'C 1 2/c 1'
_symmetry_Int_Tables_number 15
_symmetry_space_group_name_Hall '-C 2yc'
loop_
_atom_site_label
_atom_site_type_symbol
_atom_site_fract_x
_atom_site_fract_y
_atom_site_fract_z
Li1 Li 0.107 0.171 0.445
Li2 Li 0.199 0.337 0.148
Cr1 Cr 0.000 0.329 0.750
O1 O 0.000 0.372 0.250
O2 O 0.088 0.180 0.928
O3 O 0.183 0.330 0.660


b) # Li4CrO5, relaxed, DFT GGA+U
# * spin magnetization: 0.000 μB per atom
data_Li4CrO5
_chemical_formula_sum 'Li8 Cr2 O10'
_cell_length_a 6.281
_cell_length_b 6.281
_cell_length_c 4.597
_cell_angle_alpha 90.00
_cell_angle_beta 90.00
_cell_angle_gamma 90.00
_symmetry_space_group_name_H-M 'I 4'
_symmetry_Int_Tables_number 79
_symmetry_space_group_name_Hall 'I 4'
loop_
_atom_site_label
_atom_site_type_symbol
_atom_site_fract_x
_atom_site_fract_y
_atom_site_fract_z
Li1 Li 0.099 0.695 0.000
Cr1 Cr 0.000 0.000 0.536
O1 O 0.000 0.000 0.905
O2 O 0.086 0.734 0.449


The relative energies come out as a) 0.0; b) 3.1, with values in kJ/mol of atoms.


a) # Li6Cr2O7, relaxed, DFT GGA+U
# * spin magnetization: 0.266 μB per atom
data_Li6Cr2O7
_chemical_formula_sum 'Li24 Cr8 O28'
_cell_length_a 9.934
_cell_length_b 5.735
_cell_length_c 9.639
_cell_angle_alpha 90.00
_cell_angle_beta 101.25
_cell_angle_gamma 90.00
_symmetry_space_group_name_H-M 'C 1 2/c 1'
_symmetry_Int_Tables_number 15
_symmetry_space_group_name_Hall '-C 2yc'
loop_
_atom_site_label
_atom_site_type_symbol
_atom_site_fract_x
_atom_site_fract_y
_atom_site_fract_z
Li1 Li 0.067 0.147 0.101
Li2 Li 0.071 0.402 0.615
Li3 Li 0.204 0.127 0.883
Cr1 Cr 0.186 0.378 0.370
O1 O 0.000 0.351 0.250
O2 O 0.124 0.387 0.971
O3 O 0.137 0.135 0.505
O4 O 0.245 0.122 0.252


b) # Li6Cr2O7, relaxed, DFT GGA+U
# * Fermi-level density of states: 0.0 states/eV/f.u.
# * spin magnetization: 0.267 μB per atom
data_Li6Cr2O7
_chemical_formula_sum 'Li12 Cr4 O14'
_cell_length_a 7.943
_cell_length_b 5.061
_cell_length_c 9.026
_cell_angle_alpha 90.00
_cell_angle_beta 116.17
_cell_angle_gamma 90.00
_symmetry_space_group_name_H-M 'P 1 2/c 1'
_symmetry_Int_Tables_number 13
_symmetry_space_group_name_Hall '-P 2yc'
loop_
_atom_site_label
_atom_site_type_symbol
_atom_site_fract_x
_atom_site_fract_y
_atom_site_fract_z
Li1 Li 0.069 0.190 0.166
Li2 Li 0.337 0.199 0.623
Li3 Li 0.418 0.194 0.365
Cr1 Cr 0.218 0.313 0.907
O1 O 0.000 0.152 0.750
O2 O 0.186 0.335 0.398
O3 O 0.278 0.194 0.110
O4 O 0.408 0.220 0.865


The relative energies come out as a) 0.0; b) 1.9, with values in kJ/mol of atoms.


a) # Li4CrO4, relaxed, DFT GGA+U
# * Fermi-level density of states: 0.0 states/eV/f.u.
# * spin magnetization: 0.222 μB per atom
data_Li4CrO4
_chemical_formula_sum 'Li8 Cr2 O8'
_cell_length_a 5.205
_cell_length_b 5.235
_cell_length_c 7.768
_cell_angle_alpha 70.70
_cell_angle_beta 83.26
_cell_angle_gamma 67.88
_symmetry_space_group_name_H-M 'P -1'
_symmetry_Int_Tables_number 2
_symmetry_space_group_name_Hall '-P 1'
loop_
_atom_site_label
_atom_site_type_symbol
_atom_site_fract_x
_atom_site_fract_y
_atom_site_fract_z
Li1 Li 0.217 0.107 0.208
Li2 Li 0.239 0.992 0.562
Li3 Li 0.250 0.584 0.417
Li4 Li 0.258 0.740 0.995
Cr1 Cr 0.220 0.338 0.774
O1 O 0.001 0.129 0.806
O2 O 0.029 0.696 0.626
O3 O 0.339 0.341 0.979
O4 O 0.485 0.199 0.617


b) # Li4CrO4, relaxed, DFT GGA+U
# * Fermi-level density of states: 0.0 states/eV/f.u.
# * spin magnetization: 0.222 μB per atom
data_Li4CrO4
_chemical_formula_sum 'Li8 Cr2 O8'
_cell_length_a 5.913
_cell_length_b 5.913
_cell_length_c 5.077
_cell_angle_alpha 90.00
_cell_angle_beta 90.00
_cell_angle_gamma 90.00
_symmetry_space_group_name_H-M 'P 42/n m c'
_symmetry_Int_Tables_number 137
loop_
_symmetry_equiv_pos_as_xyz
'x,y,z'
'-x,-y,-z'
'-y+1/2,x,z+1/2'
'y+1/2,-x,-z+1/2'
'-x+1/2,-y+1/2,z'
'x+1/2,y+1/2,-z'
'y,-x+1/2,z+1/2'
'-y,x+1/2,-z+1/2'
'x+1/2,-y,-z'
'-x+1/2,y,z'
'-y,-x,-z+1/2'
'y,x,z+1/2'
'-x,y+1/2,-z'
'x,-y+1/2,z'
'y+1/2,x+1/2,-z+1/2'
'-y+1/2,-x+1/2,z+1/2'
loop_
_atom_site_label
_atom_site_type_symbol
_atom_site_fract_x
_atom_site_fract_y
_atom_site_fract_z
Li1 Li 0.045 0.250 0.149
Cr1 Cr 0.250 0.750 0.250
O1 O 0.010 0.750 0.469


The relative energies come out as a) 0.0; b) 8.3, with values in kJ/mol of atoms.